Compound: RbYPb
Source: the Alexandria database
Functional: GGA-PBE
Structure: relaxed

a = 7.8417 Å, b = 5.3271 Å, c = 10.7534 Å
α = 90.00°, β = 90.00°, γ = 90.00°
Closest atoms and distances in Å follow each position.
Space group Pnma (No. 62)
One atom of each set of equivalent atoms:
1 Rb 0.1299 0.2500 0.0493 x4  4 Pb 3.49-3.79, 2 Rb 3.52, 2 Y 3.84
2 Y 0.0543 0.2500 0.6630 x4  3 Pb 3.17-3.22
3 Pb 0.1589 0.2500 0.3731 x4  3 Y 3.17-3.22, 1 Rb 3.49

Computed properties:
**Mass density**: 5.642 g/cm3
**E_form**: 0.01 eV/atom
**E above lowest polymorph**: 297.0 meV per atom